[1]
Density functional theory data (PBE) for crystalline ZnAs2P at its relaxed geometry.

Structure (POSCAR):
```
ZnAs2P
1.0
-4.674 2.369 2.019
-2.916 -4.606 -1.346
-2.655 -3.391 5.644
Zn As P
2 4 2
Cartesian
-5.562 -1.070 3.999
0.000 0.000 0.000
-4.860 -3.418 4.475
-8.610 -4.465 4.832
-3.913 0.039 2.489
-3.107 -3.412 0.838
-3.795 -1.118 0.336
-4.683 -4.558 2.317
```

Properties
V in Å³/f.u.: 92.8
Space group: I-42d, No. 122
Energy relative to the elements in eV/f.u.: 0.45



[2]
Density functional theory data (PBE) for crystalline ZnAs2P at its relaxed geometry.

Structure (POSCAR):
```
ZnAs2P
1.0
9.414 -1.467 -0.023
9.414 1.467 -0.023
9.192 0.000 2.508
P As Zn
1 2 1
Cartesian
14.205 0.000 1.248
27.865 0.000 2.449
21.082 0.000 1.853
6.898 0.000 0.606
```

Properties
V in Å³/f.u.: 69.9
Space group: R3m, No. 160
Energy relative to the elements in eV/f.u.: 1.82



[3]
Density functional theory data (PBE) for crystalline ZnAs3P at its relaxed geometry.

Structure (POSCAR):
```
ZnAs3P
1.0
4.786 0.000 0.000
0.000 4.786 0.000
0.000 0.000 4.786
Zn As P
1 3 1
Cartesian
2.393 2.393 2.393
0.000 2.393 0.000
0.000 0.000 2.393
2.393 0.000 0.000
0.000 0.000 0.000
```

Properties
V in Å³/f.u.: 109.6
Space group: Pm-3m, No. 221
Energy relative to the elements in eV/f.u.: 3.69



[4]
Density functional theory data (PBE) for crystalline ZrAsP2 at its relaxed geometry.

Structure (POSCAR):
```
ZrAsP2
1.0
-6.074 3.052 -1.256
-6.891 0.129 0.539
-5.800 3.007 2.259
As Zr P
1 1 2
Cartesian
-13.902 4.585 1.143
-9.452 3.117 0.777
-18.682 6.162 1.536
-4.875 1.608 0.401
```

Properties
V in Å³/f.u.: 71.1
Space group: R3m, No. 160
Energy relative to the elements in eV/f.u.: -1.06



[5]
Density functional theory data (PBE) for crystalline ZrAs2P at its relaxed geometry.

Structure (POSCAR):
```
ZrAs2P
1.0
-0.507 -1.798 -4.212
-0.769 -3.565 2.817
-3.429 0.797 0.072
As P Zr
2 1 1
Cartesian
0.000 0.000 0.000
-0.638 -2.682 -0.698
-1.968 -0.501 -2.070
-2.099 -1.384 1.445
```

Properties
V in Å³/f.u.: 72.6
Space group: Cmmm, No. 65
Energy relative to the elements in eV/f.u.: -0.83



[6]
Density functional theory data (PBE) for crystalline ZrAs2P at its relaxed geometry.

Structure (POSCAR):
```
ZrAs2P
1.0
-0.608 3.313 1.714
-3.613 -0.957 0.568
1.302 -2.161 4.639
As Zr P
2 1 1
Cartesian
-2.111 1.178 1.141
0.000 0.000 0.000
-1.156 -1.559 2.604
0.347 0.576 3.177
```

Properties
V in Å³/f.u.: 75.4
Space group: P4/mmm, No. 123
Energy relative to the elements in eV/f.u.: -1.10